No. 1
A relaxed structure of ZrAl5Ni2. Source: the Alexandria database, functional PBE.

space-group type	I4/mmm (139)
ΔH_f (0 K)	-592	meV/atom

a b c (Å): 4.0232 4.0232 7.8429
angles (deg): 104.87 104.87 90.02
Last column: nearest neighbours and their distance in Å.
Atoms (fractional coordinates):
Ni 0.2394 0.2394 0.4789  8 Al 2.41-2.60
Ni 0.7606 0.7606 0.5211  8 Al 2.41-2.60
Al 0.8521 0.3520 0.7039  4 Ni 2.41-2.60
Al 0.5000 0.5000 0.0000  4 Zr 2.84-2.85, 8 Al 2.95
Al 0.6480 0.1479 0.2961  4 Ni 2.41-2.60
Al 0.1479 0.6480 0.2961  4 Ni 2.41-2.60
Al 0.3520 0.8521 0.7039  4 Ni 2.41-2.60
Zr 0.0000 0.0000 0.0000  12 Al 2.84-2.95

No. 2
A relaxed structure of Ce7Hg2Rh2. Source: the Alexandria database, functional PBE.

space-group type	C2/m (12)
ΔH_f (0 K)	-316	meV/atom

a b c (Å): 7.5649 6.4390 6.4390
angles (deg): 112.70 83.20 83.20
Last column: nearest neighbours and their distance in Å.
Atoms (fractional coordinates):
Rh 0.8655 0.3534 0.3534  2 Ce 2.51-2.76
Rh 0.1345 0.6466 0.6466  2 Ce 2.51-2.76
Ce 0.1397 0.5550 0.1374  2 Ce 2.70-2.89
Ce 0.8603 0.8626 0.4450  2 Ce 2.70-2.89
Ce 0.4849 0.6994 0.6994  1 Rh 2.76, 1 Ce 2.81
Ce 0.1397 0.1374 0.5550  2 Ce 2.70-2.89
Ce 0.5151 0.3006 0.3006  1 Rh 2.76, 1 Ce 2.81
Ce 0.0000 0.0000 0.0000  2 Rh 2.51
Ce 0.8603 0.4450 0.8626  2 Ce 2.70-2.89
Hg 0.5000 0.2161 0.7839  8 Ce 3.18-3.35
Hg 0.5000 0.7839 0.2161  8 Ce 3.18-3.35

No. 3
A relaxed structure of La2SiTc. Source: the Alexandria database, functional PBE.

formation energy from raw total energies	-271.4	meV per atom
space-group type	Cm (8)

a b c (Å): 5.8160 5.8160 5.1216
angles (deg): 74.99 74.99 36.24
Last column: nearest neighbours and their distance in Å.
Atoms (fractional coordinates):
Tc 0.1739 0.1739 0.2821  2 Si 2.45, 1 La 2.58
La 0.9998 0.9998 0.0329  1 Tc 2.58
La 0.7875 0.7875 0.6663  3 Si 3.04-3.23, 2 Tc 3.17, 1 La 3.38
Si 0.5388 0.5388 0.5187  2 Tc 2.45

No. 4
A relaxed structure of ThSiOs2. Source: the Alexandria database, functional PBE.

formation energy from raw total energies	-174.2	meV per atom
space-group type	R-3m (166)

a b c (Å): 4.2878 4.2878 5.6407
angles (deg): 67.66 67.66 60.00
Last column: nearest neighbours and their distance in Å.
Atoms (fractional coordinates):
Th 0.0000 0.0000 0.0000  8 Os 2.97-3.25
Os 0.8047 0.8047 0.5859  3 Si 2.51, 3 Os 2.62
Os 0.1953 0.1953 0.4141  3 Si 2.51, 3 Os 2.62
Si 0.5000 0.5000 0.5000  6 Os 2.51

no.,Fermi-level density of states (states/eV per cell),density (g/cm3),total magnetic moment (μB per cell)
1,3.7,4.82,0.00
2,24.8,9.33,2.28
3,4.4,6.81,0.00
4,6.2,13.18,0.00